VASP calculation (PBE-GGA) on a relaxed structure of TiCu2Ir.

Lattice parameters (Å, degrees): 4.252 4.252 4.252 60.00 60.00 60.00
Positions (direct):
Ti  0.000  0.000  0.000
Cu  0.250  0.250  0.250
Cu  0.750  0.750  0.750
Ir  0.500  0.500  0.500

## Properties
ΔE_f = -0.141 eV/atom
Size of the total moment = 0.0 μB/f.u.
Calculated total energy = -25.51 eV for the cell shown
Space group = Fm-3m (225)

VASP calculation (PBE-GGA) on a relaxed structure of TiCuIr.

Lattice parameters (Å, degrees): 4.242 4.242 2.742 90.00 90.00 120.00
Positions (direct):
Ti  0.000  0.000  0.000
Cu  0.333  0.667  0.312
Ir  0.667  0.333  0.698

## Properties
ΔE_f = -0.392 eV/atom
Size of the total moment = 0.0 μB/f.u.
Calculated total energy = -22.03 eV for the cell shown
Space group = P3m1 (156)
Energy above the most stable polymorph in this dataset = 90 meV/atom

VASP calculation (PBE-GGA) on a relaxed structure of TiCu4Ir.

Lattice parameters (Å, degrees): 4.776 4.776 4.776 60.00 60.00 60.00
Positions (direct):
Ti  0.000  0.000  0.000
Cu  0.125  0.625  0.625
Cu  0.625  0.125  0.625
Cu  0.625  0.625  0.125
Cu  0.625  0.625  0.625
Ir  0.250  0.250  0.250

## Properties
ΔE_f = -0.156 eV/atom
Size of the total moment = 0.0 μB/f.u.
Calculated total energy = -34.08 eV for the cell shown
Space group = F-43m (216)

VASP calculation (PBE-GGA) on a relaxed structure of Ti4CuIr3.

Lattice parameters (Å, degrees): 4.512 4.512 6.825 111.79 111.79 82.71
Positions (direct):
Ti  0.124  0.624  0.749
Ti  0.376  0.876  0.251
Ti  0.624  0.124  0.749
Ti  0.876  0.376  0.251
Cu  0.000  0.000  0.500
Ir  0.245  0.245  0.990
Ir  0.500  0.500  0.500
Ir  0.755  0.755  0.010

## Properties
ΔE_f = -0.684 eV/atom
Size of the total moment = 0.0 μB/f.u.
Calculated total energy = -67.73 eV for the cell shown
Space group = C2/m (12)

VASP calculation (PBE-GGA) on a relaxed structure of TiCu2Ir.

Lattice parameters (Å, degrees): 9.673 9.673 9.673 158.76 158.76 30.21
Positions (direct):
Ti  0.000  0.000  0.000
Ti  0.750  0.250  0.500
Cu  0.139  0.625  0.014
Cu  0.375  0.389  0.514
Cu  0.611  0.125  0.986
Cu  0.875  0.861  0.486
Ir  0.250  0.750  0.500
Ir  0.500  0.500  0.000

## Properties
ΔE_f = 0.011 eV/atom
Size of the total moment = 0.0 μB/f.u.
Calculated total energy = -49.81 eV for the cell shown
Space group = I-42d (122)

VASP calculation (PBE-GGA) on a relaxed structure of Ti5Cu2Ir.

Lattice parameters (Å, degrees): 7.816 7.816 7.816 132.61 132.61 69.27
Positions (direct):
Ti  0.000  0.000  0.000
Ti  0.010  0.510  0.832
Ti  0.179  0.010  0.500
Ti  0.321  0.821  0.832
Ti  0.490  0.321  0.500
Ti  0.500  0.500  0.000
Ti  0.510  0.679  0.500
Ti  0.679  0.179  0.168
Ti  0.821  0.990  0.500
Ti  0.990  0.490  0.168
Cu  0.131  0.369  0.500
Cu  0.369  0.869  0.238
Cu  0.631  0.131  0.762
Cu  0.869  0.631  0.500
Ir  0.250  0.250  0.000
Ir  0.750  0.750  0.000

## Properties
ΔE_f = -0.213 eV/atom
Size of the total moment = 0.0 μB/f.u.
Calculated total energy = -116.46 eV for the cell shown
Space group = I4/mcm (140)

VASP calculation (PBE-GGA) on a relaxed structure of TiCuIr.

Lattice parameters (Å, degrees): 8.801 7.417 6.087 80.69 56.27 43.04
Positions (direct):
Ti  0.023  0.023  0.227
Ti  0.227  0.227  0.023
Ti  0.773  0.773  0.977
Ti  0.977  0.977  0.773
Cu  0.000  0.500  0.500
Cu  0.500  0.000  0.500
Cu  0.500  0.500  0.000
Cu  0.500  0.500  0.500
Ir  0.070  0.680  0.070
Ir  0.320  0.930  0.320
Ir  0.680  0.070  0.680
Ir  0.930  0.320  0.930

## Properties
ΔE_f = -0.024 eV/atom
Size of the total moment = 0.0 μB/f.u.
Calculated total energy = -83.70 eV for the cell shown
Space group = Fddd (70)
Energy above the most stable polymorph in this dataset = 459 meV/atom

VASP calculation (PBE-GGA) on a relaxed structure of TiCu2Ir2.

Lattice parameters (Å, degrees): 6.922 6.922 2.932 90.00 90.00 90.00
Positions (direct):
Ti  0.000  0.000  0.000
Ti  0.500  0.500  0.000
Cu  0.124  0.376  0.000
Cu  0.376  0.876  0.000
Cu  0.624  0.124  0.000
Cu  0.876  0.624  0.000
Ir  0.174  0.674  0.500
Ir  0.326  0.174  0.500
Ir  0.674  0.826  0.500
Ir  0.826  0.326  0.500

## Properties
ΔE_f = -0.048 eV/atom
Size of the total moment = 0.0 μB/f.u.
Calculated total energy = -68.10 eV for the cell shown
Space group = P4/mbm (127)
Energy above the most stable polymorph in this dataset = 0 meV/atom